No. 1
Density functional theory data (GGA-PBE) for an optimized crystal structure of Tb3GaSO.

```
Tb3GaSO
1.0
-2.275 -1.233 -2.907
-5.226 -3.593 5.613
-3.353 8.001 -0.769
S Ga Tb O
2 2 6 2
Cartesian
-6.351 4.551 -0.868
-4.503 -1.376 2.805
-2.202 0.794 0.084
-8.652 2.381 1.853
-4.458 -1.059 0.030
-6.834 -2.998 2.712
-4.020 6.172 -0.775
-6.396 4.234 1.907
-4.321 2.546 -1.607
-6.533 0.628 3.543
-3.061 4.126 -0.657
-7.793 -0.951 2.594
```

Output
symmetry	P2_1/m, No. 11
total moment	0.000	μB/cell
mass density	7.04	g/cm³
volume	23.39	Å³ per atom
formation energy (no corrections)	-1.8041	eV/atom
total DFT energy (no corrections)	-6.1380	eV/atom

***

No. 2
Density functional theory data (GGA-PBE) for an optimized crystal structure of Ru3Cl.

```
Ru3Cl
1.0
-3.356 0.379 3.641
-1.718 -4.525 -1.112
3.233 -2.010 3.189
Ru Cl
6 2
Cartesian
-1.698 -2.168 0.354
-0.870 -0.313 2.618
0.747 -1.318 4.212
-3.375 -1.978 2.175
1.187 -2.136 1.317
0.328 -4.399 0.761
0.000 0.000 0.000
-0.920 -3.078 2.859
```

Output
symmetry	Pm-3n, No. 223
total moment	4.802	μB/cell
mass density	9.18	g/cm³
volume	15.31	Å³ per atom
E above lowest polymorph	907	meV/atom
formation energy (no corrections)	1.3294	eV/atom
total DFT energy (no corrections)	-6.0892	eV/atom

***

No. 3
Density functional theory data (GGA-PBE) for an optimized crystal structure of Ca2MnRh.

```
Ca2MnRh
1.0
4.874 -0.512 0.000
0.399 4.884 0.000
-2.636 -2.186 3.505
Rh Mn Ca
1 1 2
Cartesian
2.437 -0.256 1.753
2.636 2.186 0.000
0.000 0.000 0.000
0.199 2.442 1.753
```

Output
symmetry	I-4m2, No. 119
DFT formation energy	0.144	eV per atom
total moment	4.096	μB/cell
mass density	4.70	g/cm³
volume	21.04	Å³ per atom
total DFT energy (no corrections)	-4.9874	eV/atom

***

No. 4
Density functional theory data (GGA-PBE) for an optimized crystal structure of Ca2ScAg3.

```
Ca2ScAg3
1.0
-0.312 2.852 -2.149
-3.479 -0.731 -0.465
-2.482 6.287 8.702
Sc Ca Ag
1 2 3
Cartesian
-3.137 4.204 3.044
-3.941 6.241 5.864
-2.332 2.167 0.225
-0.895 2.267 3.138
-1.587 4.020 5.565
0.000 0.000 0.000
```

Output
symmetry	P4/mmm, No. 123
DFT formation energy	-0.287	eV per atom
total moment	0.000	μB/cell
mass density	5.26	g/cm³
volume	23.60	Å³ per atom
total DFT energy (no corrections)	-3.4354	eV/atom

***

No. 5
Density functional theory data (GGA-PBE) for an optimized crystal structure of ScTaRu.

```
ScTaRu
1.0
6.505 0.000 0.000
0.000 3.168 0.000
-3.094 0.000 10.204
Ta Ru Sc
4 4 4
Cartesian
-1.567 0.000 6.704
4.979 0.000 3.501
3.432 1.584 8.603
-0.020 1.584 1.602
-0.003 1.584 5.107
3.414 1.584 5.098
1.867 0.000 10.200
1.544 0.000 0.005
3.318 1.584 1.540
1.640 0.000 3.562
1.771 0.000 6.642
0.093 1.584 8.664
```

Output
symmetry	C2/m, No. 12
DFT formation energy	-0.337	eV per atom
total moment	0.004	μB/cell
mass density	10.33	g/cm³
volume	17.53	Å³ per atom
E above lowest polymorph	68	meV/atom
total DFT energy (no corrections)	-9.4908	eV/atom

***

What is the total DFT energy (no corrections) in the fifth record? -9.4908 eV/atom

***

Among the records above, which one has the lowest volume? Ru3Cl

***

Look up the volume of the fifth one. 17.53 Å³ per atom